No. 1
The following is a DFT calculation (PBE) of a relaxed structure of AlBiS2.

abc: 6.717 6.717 5.887
angles: 96.55 96.55 126.94
Sites, in units of the cell vectors:
Al  0.015  0.985  0.750
Al  0.985  0.015  0.250
Bi  0.284  0.716  0.250
Bi  0.716  0.284  0.750
S  0.111  0.315  0.573
S  0.315  0.111  0.073
S  0.685  0.889  0.927
S  0.889  0.685  0.427

Output
- relative energy among the computed polymorphs (meV per atom) = 305

=====

No. 2
The following is a DFT calculation (PBE) of a relaxed structure of Al4BiS7.

abc: 15.014 6.440 6.062
angles: 90.00 90.00 90.00
Sites, in units of the cell vectors:
Al  0.127  0.160  0.000
Al  0.248  0.681  0.981
Al  0.252  0.319  0.481
Al  0.373  0.840  0.500
Al  0.627  0.840  0.500
Al  0.748  0.319  0.481
Al  0.752  0.681  0.981
Al  0.873  0.160  0.000
Bi  0.000  0.520  0.531
Bi  0.500  0.480  0.031
S  0.000  0.345  0.915
S  0.120  0.182  0.374
S  0.124  0.836  0.874
S  0.247  0.339  0.864
S  0.253  0.661  0.364
S  0.376  0.164  0.374
S  0.380  0.818  0.874
S  0.500  0.655  0.415
S  0.620  0.818  0.874
S  0.624  0.164  0.374
S  0.747  0.661  0.364
S  0.753  0.339  0.864
S  0.876  0.836  0.874
S  0.880  0.182  0.374

Output
- total DFT energy (no corrections) (eV/atom) = -4.816

=====

No. 3
The following is a DFT calculation (PBE) of a relaxed structure of AlBiS2.

abc: 9.767 3.743 14.855
angles: 90.00 120.85 90.00
Sites, in units of the cell vectors:
Al  0.146  0.027  0.497
Al  0.146  0.473  0.997
Al  0.854  0.527  0.003
Al  0.854  0.973  0.503
Bi  0.436  0.505  0.306
Bi  0.436  0.995  0.806
Bi  0.564  0.005  0.194
Bi  0.564  0.495  0.694
S  0.110  0.051  0.634
S  0.110  0.449  0.134
S  0.285  0.524  0.495
S  0.285  0.976  0.995
S  0.715  0.024  0.005
S  0.715  0.476  0.505
S  0.890  0.551  0.866
S  0.890  0.949  0.366

Output
- relative energy among the computed polymorphs (meV per atom) = 114

=====

No. 4
The following is a DFT calculation (PBE) of a relaxed structure of AlBi2S4.

abc: 6.857 6.741 8.253
angles: 90.00 105.69 90.00
Sites, in units of the cell vectors:
Al  0.229  0.250  0.287
Al  0.771  0.750  0.713
Bi  0.204  0.750  0.059
Bi  0.283  0.750  0.552
Bi  0.717  0.250  0.448
Bi  0.796  0.250  0.941
S  0.007  0.504  0.223
S  0.007  0.996  0.223
S  0.399  0.250  0.564
S  0.463  0.250  0.144
S  0.537  0.750  0.856
S  0.601  0.750  0.436
S  0.993  0.004  0.777
S  0.993  0.496  0.777

Output
- total DFT energy (no corrections) (eV/atom) = -4.453